1.
# Be4WBr

A relaxed Be4WBr crystal (GGA-PBE, the Alexandria database).

Summary:
- Calculated density: 7.4 g/cm³
- Formation energy (no corrections): 524 meV/atom
- Total moment: 0.0 Bohr magnetons per cell

Cell: 4.558 4.558 4.558 Å, 60.00 60.00 60.00°
Atoms (fractional coordinates):
1 Be 0.896 0.368 0.368
2 Be 0.368 0.368 0.896
3 Be 0.368 0.896 0.368
4 Be 0.368 0.368 0.368
5 W 0.000 0.000 0.000
6 Br 0.750 0.750 0.750

2.
# Li2FeAs2

A relaxed Li2FeAs2 crystal (GGA-PBE, the Alexandria database).

Summary:
- Calculated density: 3.9 g/cm³
- E above lowest polymorph: 355 kJ/mol of formula units
- Energy relative to the elements: 31.48 kJ/mol of atoms
- Total moment: 1.8 Bohr magnetons per cell

Cell: 4.649 4.649 4.359 Å, 90.00 90.00 90.00°
Atoms (fractional coordinates):
1 As 0.500 0.500 0.500
2 As 0.000 0.000 0.500
3 Fe 0.000 0.000 0.000
4 Li 0.000 0.500 0.000
5 Li 0.500 0.000 0.000

3.
# CaNbO3

A relaxed CaNbO3 crystal (GGA-PBE, the Alexandria database).

Summary:
- Calculated density: 4.7 g/cm³
- Formation energy (no corrections): -2744 meV/atom
- Total moment: 0.0 Bohr magnetons per cell

Cell: 5.556 5.715 7.989 Å, 90.00 90.00 90.00°
Atoms (fractional coordinates):
1 Ca 0.009 0.052 0.250
2 Ca 0.509 0.448 0.750
3 Ca 0.491 0.552 0.250
4 Ca 0.991 0.948 0.750
5 Nb 0.500 0.000 0.000
6 Nb 0.000 0.500 0.000
7 Nb 0.000 0.500 0.500
8 Nb 0.500 0.000 0.500
9 O 0.801 0.203 0.545
10 O 0.301 0.297 0.455
11 O 0.699 0.703 0.955
12 O 0.199 0.797 0.045
13 O 0.199 0.797 0.455
14 O 0.699 0.703 0.545
15 O 0.301 0.297 0.045
16 O 0.801 0.203 0.955
17 O 0.588 0.972 0.250
18 O 0.088 0.528 0.750
19 O 0.912 0.472 0.250
20 O 0.412 0.028 0.750

4.
# KNa2NpO4

A relaxed KNa2NpO4 crystal (GGA-PBE, the Alexandria database).

Summary:
- Calculated density: 4.9 g/cm³
- Formation energy (no corrections): -2230 meV/atom
- Total moment: 2.0 Bohr magnetons per cell

Cell: 3.467 5.940 8.468 Å, 51.87 78.19 73.03°
Atoms (fractional coordinates):
1 K 0.500 0.500 0.500
2 Na 0.741 0.718 0.800
3 Na 0.259 0.282 0.200
4 Np 0.000 0.000 0.000
5 O 0.107 0.046 0.741
6 O 0.393 0.321 0.892
7 O 0.893 0.954 0.259
8 O 0.607 0.679 0.108

5.
# Ir6Ru7

A relaxed Ir6Ru7 crystal (GGA-PBE, the Alexandria database).

Summary:
- Calculated density: 16.0 g/cm³
- Energy relative to the elements: 42.20 kJ/mol of atoms
- Total moment: 0.0 Bohr magnetons per cell

Cell: 9.253 9.253 9.253 Å, 31.55 31.55 31.55°
Atoms (fractional coordinates):
1 Ru 0.917 0.411 0.411
2 Ru 0.411 0.411 0.917
3 Ru 0.411 0.917 0.411
4 Ru 0.083 0.589 0.589
5 Ru 0.589 0.083 0.589
6 Ru 0.589 0.589 0.083
7 Ru 0.500 0.500 0.500
8 Ir 0.952 0.952 0.952
9 Ir 0.048 0.048 0.048
10 Ir 0.846 0.846 0.846
11 Ir 0.154 0.154 0.154
12 Ir 0.663 0.663 0.663
13 Ir 0.337 0.337 0.337

6.
# Li4CuRe

A relaxed Li4CuRe crystal (GGA-PBE, the Alexandria database).

Summary:
- Calculated density: 5.9 g/cm³
- Energy relative to the elements: 55.45 kJ/mol of atoms
- Total moment: 1.7 Bohr magnetons per cell

Cell: 4.789 4.789 4.789 Å, 60.00 60.00 60.00°
Atoms (fractional coordinates):
1 Li 0.874 0.375 0.375
2 Li 0.375 0.375 0.874
3 Li 0.375 0.874 0.375
4 Li 0.375 0.375 0.375
5 Cu 0.000 0.000 0.000
6 Re 0.750 0.750 0.750